[1]
DFT (SCAN) results for Sc2InIr at its PBEsol-relaxed geometry.

abc: 3.1360 3.1360 8.0605
angles: 90.00 90.00 90.00
Positions (direct):
Sc1 0.5000 0.5000 0.2701
Sc2 0.0000 0.0000 0.9432
Ir1 0.5000 0.5000 0.7533
In1 0.0000 0.0000 0.5334

Results
SG: P4mm (99)
Formation enthalpy at 0 K (meV per atom): -513

***

[2]
DFT (SCAN) results for SiSbO3 at its PBEsol-relaxed geometry.

abc: 3.7003 3.7003 3.7003
angles: 90.00 90.00 90.00
Positions (direct):
O1 0.0000 0.5000 0.5000
O2 0.5000 0.0000 0.5000
O3 0.5000 0.5000 0.0000
Si1 0.5000 0.5000 0.5000
Sb1 0.0000 0.0000 0.0000

Results
SG: Pm-3m (221)
ΔE_f (raw) (eV per atom): -1.408

***

[3]
DFT (SCAN) results for CoAgBr2 at its PBEsol-relaxed geometry.

abc: 5.9851 5.9851 6.8463
angles: 115.92 115.92 90.00
Positions (direct):
Br1 0.4172 0.8750 0.2500
Br2 0.8328 0.3750 0.2500
Br3 0.1250 0.1672 0.7500
Br4 0.6250 0.5828 0.7500
Co1 0.7500 0.2500 0.5000
Co2 0.5000 0.5000 0.0000
Ag1 0.2500 0.7500 0.5000
Ag2 0.0000 0.0000 0.0000

Results
SG: I-42d (122)
ΔE_f (raw) (eV per atom): -0.017
Relative energy among the computed polymorphs (eV/atom): 0.162

***

[4]
DFT (SCAN) results for SiNiIr2 at its PBEsol-relaxed geometry.

abc: 2.7616 4.3006 4.3006
angles: 101.17 90.00 90.00
Positions (direct):
Ir1 0.0000 0.0000 0.5000
Ir2 0.0000 0.5000 0.0000
Si1 0.5000 0.5000 0.5000
Ni1 0.5000 0.0000 0.0000

Results
SG: Cmmm (65)
ΔE_f (raw) (eV per atom): -0.387